28
Lattice="7.9505 0.0000 0.0000 -3.9752 6.8853 0.0000 0.0000 0.0000 7.8866" Properties=species:S:1:pos:R:3 comment="Al5Rh2, optimized geometry, DFT PBE-GGA" formation_energy_mev_per_atom=-744 dft_energy_ev_per_atom=-5.518 pbc="T T T"
Al 0.0000 0.0000 0.0000
Al 0.0000 0.0000 3.9433
Al -1.6437 3.6412 1.9717
Al 0.0000 2.6523 4.4060
Al 0.0000 2.6523 7.4239
Al -1.6783 5.5592 4.4060
Al -1.6783 5.5592 7.4239
Al 2.2969 1.3261 0.4627
Al 2.2969 1.3261 3.4806
Al 1.6437 3.6412 1.9717
Al 0.0000 6.4882 1.9717
Al 3.9752 0.3972 5.9150
Al 2.3316 3.2441 5.9150
Al 1.6783 5.5592 4.4060
Al 1.6783 5.5592 7.4239
Al 5.6536 1.3261 0.4627
Al 5.6536 1.3261 3.4806
Al 3.9752 4.2331 0.4627
Al 3.9752 4.2331 3.4806
Al 5.6189 3.2441 5.9150
Rh 0.0000 1.7885 1.9717
Rh -2.4264 5.9911 1.9717
Rh 1.5489 0.8943 5.9150
Rh 0.0000 4.5902 5.9150
Rh 3.9752 2.2951 1.9717
Rh 2.4264 5.9911 1.9717
Rh 6.4016 0.8943 5.9150
Rh 3.9752 5.0968 5.9150